[1]
Here is an optimized crystal structure of UBiPt2 from Alexandria via LeMat-Bulk. Energies are from PBE.

* VASP energy: -7.20 eV per atom
* E_form: -150 kJ/mol of formula units

abc: 3.9557 3.9557 7.3945
angles: 74.49 74.49 60.00
Closest atoms and distances in Å follow each position.
Fractional positions:
1 Pt 0.0768 0.0768 0.7696  3 U 2.79, 3 Bi 2.94
2 Pt 0.2576 0.2576 0.2271  3 U 2.80, 3 Bi 3.01
3 Bi 0.4982 0.4982 0.5055  6 Pt 2.94-3.01
4 U 0.6674 0.6674 0.9978  6 Pt 2.79-2.80



[2]
Here is an optimized crystal structure of VBi3Pt from Alexandria via LeMat-Bulk. Energies are from PBE.

* VASP energy: -4.75 eV per atom
* E_form: 295 kJ/mol of formula units
* energy relative to the lowest polymorph listed for this composition: 0 meV/atom

abc: 5.1584 5.1584 5.1584
angles: 90.00 90.00 90.00
Closest atoms and distances in Å follow each position.
Fractional positions:
1 V 0.0000 0.0000 0.0000  6 Bi 2.58
2 Bi 0.0000 0.0000 0.5000  2 V 2.58
3 Pt 0.5000 0.5000 0.5000  12 Bi 3.65
4 Bi 0.5000 0.0000 0.0000  2 V 2.58
5 Bi 0.0000 0.5000 0.0000  2 V 2.58



[3]
Here is an optimized crystal structure of V2BiPt from Alexandria via LeMat-Bulk. Energies are from PBE.

* VASP energy: -6.67 eV per atom
* E_form: 142 kJ/mol of formula units

abc: 7.2593 7.2593 5.8619
angles: 51.74 51.74 90.00
Closest atoms and distances in Å follow each position.
Fractional positions:
1 V 0.1531 0.6250 0.2500  2 Pt 2.53, 2 Bi 2.81
2 Bi 0.7500 0.2500 0.5000  4 V 2.81, 2 Pt 2.83
3 V 0.3750 0.4031 0.7500  2 Pt 2.53, 2 Bi 2.81
4 Pt 0.2500 0.7500 0.5000  4 V 2.53, 2 Bi 2.83
5 Bi 0.0000 0.0000 0.0000  4 V 2.81, 2 Pt 2.83
6 V 0.8750 0.8469 0.7500  2 Pt 2.53, 2 Bi 2.81
7 Pt 0.5000 0.5000 0.0000  4 V 2.53, 2 Bi 2.83
8 V 0.5969 0.1250 0.2500  2 Pt 2.53, 2 Bi 2.81



[4]
Here is an optimized crystal structure of VBiPt2 from Alexandria via LeMat-Bulk. Energies are from PBE.

* VASP energy: -6.24 eV per atom
* E_form: 13 kJ/mol of formula units

abc: 7.4255 7.4255 5.9443
angles: 51.35 51.35 90.00
Closest atoms and distances in Å follow each position.
Fractional positions:
1 Pt 0.1557 0.6250 0.2500  2 V 2.57, 2 Pt 2.82
2 Pt 0.8750 0.8443 0.7500  2 V 2.57, 2 Pt 2.82
3 Bi 0.7500 0.2500 0.5000  2 V 2.79, 4 Pt 2.88
4 Pt 0.3750 0.4057 0.7500  2 V 2.57, 2 Pt 2.82
5 V 0.2500 0.7500 0.5000  4 Pt 2.57, 2 Bi 2.79
6 V 0.5000 0.5000 0.0000  4 Pt 2.57, 2 Bi 2.79
7 Pt 0.5943 0.1250 0.2500  2 V 2.57, 2 Pt 2.82
8 Bi 0.0000 0.0000 0.0000  2 V 2.79, 4 Pt 2.88



Q: Look up the E_form of the fourth one.
A: 13 kJ/mol of formula units